Entry i
Here is Cr2CO after structural relaxation from Alexandria via LeMat-Bulk. Energies are from PBE with a Hubbard U.

Lattice parameters (Å, degrees): 3.8390 3.8390 3.8390 60.00 60.00 60.00
Sites, in units of the cell vectors:
O 0.5000 0.5000 0.5000
C 0.0000 0.0000 0.0000
Cr 0.7500 0.7500 0.7500
Cr 0.2500 0.2500 0.2500

Values from the calculation:
M_tot: 1.500 μB/atom
D(E_F): 0.79 states/eV/atom


Entry ii
Here is Cr2CO after structural relaxation from Alexandria via LeMat-Bulk. Energies are from PBE with a Hubbard U.

Lattice parameters (Å, degrees): 4.7575 4.7575 5.5772 64.75 64.75 90.00
Sites, in units of the cell vectors:
C 0.5000 0.5000 0.0000
C 0.2500 0.7500 0.5000
Cr 0.3750 0.3879 0.7500
Cr 0.6121 0.1250 0.2500
Cr 0.8750 0.8621 0.7500
Cr 0.1379 0.6250 0.2500
O 0.0000 0.0000 0.0000
O 0.7500 0.2500 0.5000

Values from the calculation:
M_tot: 1.500 μB/atom
D(E_F): 0.11 states/eV/atom


Here are the energies relative to the best structure, in meV per atom: entry i 609; entry ii 0.


Entry i
Here is CrPCO2 after structural relaxation from Alexandria via LeMat-Bulk. Energies are from PBE with a Hubbard U.

Lattice parameters (Å, degrees): 3.6766 3.6766 3.8147 90.00 90.00 90.00
Sites, in units of the cell vectors:
C 0.0000 0.0000 0.0000
P 0.0000 0.0000 0.5000
O 0.0000 0.5000 0.0000
O 0.5000 0.0000 0.0000
Cr 0.5000 0.5000 0.5000

Values from the calculation:
M_tot: 0.720 μB/atom
D(E_F): 0.44 states/eV/atom


Entry ii
Here is CrPCO2 after structural relaxation from Alexandria via LeMat-Bulk. Energies are from PBE with a Hubbard U.

Lattice parameters (Å, degrees): 3.4847 3.4847 5.5460 90.00 90.00 90.00
Sites, in units of the cell vectors:
Cr 0.0000 0.0000 0.0000
C 0.5000 0.5000 0.5000
O 0.5000 0.0000 0.0000
O 0.0000 0.5000 0.0000
P 0.0000 0.0000 0.5000

Values from the calculation:
M_tot: 0.395 μB/atom
D(E_F): 0.61 states/eV/atom


Here are the energies relative to the best structure, in meV per atom: entry i 196; entry ii 0.